No. 1
# Er2Al2O5

An optimized crystal structure of Er2Al2O5 (PBE, OQMD via LeMat-Bulk).

Total moment   0.000 μB per atom
V   124.7 Å³ per cell
Excess energy over the best structure of this formula in the dataset   603 meV/atom
Theoretical density   6.2 g/cm³
Crystal system   tetragonal

Cell lengths 8.7199, 3.7813, 3.7813 Å; angles 90.00, 90.00, 90.00 degrees
Last column: nearest neighbours and their distance in Å.
Sites, in units of the cell vectors:
O  0.8636  0.5000  0.0000  2 Er 2.11, 2 Al 2.23
O  0.8636  0.0000  0.5000  2 Er 2.11, 2 Al 2.23
O  0.1364  0.0000  0.5000  2 Er 2.11, 2 Al 2.23
O  0.1364  0.5000  0.0000  2 Er 2.11, 2 Al 2.23
O  0.5000  0.5000  0.5000  2 Er 2.23
Er  0.7559  0.5000  0.5000  5 O 2.11-2.23
Er  0.2441  0.5000  0.5000  5 O 2.11-2.23
Al  0.0000  0.0000  0.0000  8 O 2.23
Al  0.5000  0.0000  0.0000  4 O 2.67

No. 2
# RbHoZnTe3

An optimized crystal structure of RbHoZnTe3 (PBE, OQMD via LeMat-Bulk).

Total moment   0.000 μB per atom
V   436.3 Å³ per cell
Excess energy over the best structure of this formula in the dataset   22 meV/atom
Theoretical density   5.3 g/cm³
Crystal system   monoclinic

Cell lengths 9.5139, 4.4136, 11.1019 Å; angles 90.00, 110.61, 90.00 degrees
Last column: nearest neighbours and their distance in Å.
Sites, in units of the cell vectors:
Te  0.5397  0.2500  0.8473  3 Ho 3.02-3.08
Te  0.0894  0.2500  0.8509  1 Zn 2.64
Te  0.2171  0.7500  0.5528  3 Zn 2.75-2.78
Te  0.7829  0.2500  0.4472  3 Zn 2.75-2.78
Te  0.9106  0.7500  0.1491  1 Zn 2.64
Te  0.4603  0.7500  0.1527  3 Ho 3.02-3.08
Ho  0.3211  0.7500  0.8626  6 Te 3.02-3.23
Ho  0.6789  0.2500  0.1374  6 Te 3.02-3.23
Zn  0.9187  0.7500  0.3890  4 Te 2.64-2.78
Zn  0.0813  0.2500  0.6110  4 Te 2.64-2.78
Rb  0.7576  0.7500  0.7230  6 Te 3.62-3.85
Rb  0.2424  0.2500  0.2770  6 Te 3.62-3.85

No. 3
# PrTc4B4

An optimized crystal structure of PrTc4B4 (PBE, OQMD via LeMat-Bulk).

E_tot   -8.4878 eV per atom
Total moment   0.001 μB per atom
V   235.3 Å³ per cell
Theoretical density   8.1 g/cm³
Crystal system   tetragonal

Cell lengths 7.4743, 7.4743, 4.2115 Å; angles 90.00, 90.00, 90.00 degrees
Last column: nearest neighbours and their distance in Å.
Sites, in units of the cell vectors:
Tc  0.8652  0.3794  0.1272  4 B 2.18-2.27
Tc  0.1206  0.3652  0.6272  4 B 2.18-2.27
Tc  0.3652  0.8794  0.3728  4 B 2.18-2.27
Tc  0.8794  0.6348  0.6272  4 B 2.18-2.27
Tc  0.6348  0.1206  0.3728  4 B 2.18-2.27
Tc  0.3794  0.1348  0.8728  4 B 2.18-2.27
Tc  0.1348  0.6206  0.1272  4 B 2.18-2.27
Tc  0.6206  0.8652  0.8728  4 B 2.18-2.27
B  0.8066  0.6717  0.1253  1 B 1.79
B  0.8283  0.3066  0.6253  1 B 1.79
B  0.6717  0.1934  0.8747  1 B 1.79
B  0.1717  0.6934  0.6253  1 B 1.79
B  0.1934  0.3283  0.1253  1 B 1.79
B  0.3283  0.8066  0.8747  1 B 1.79
B  0.3066  0.1717  0.3747  1 B 1.79
B  0.6934  0.8283  0.3747  1 B 1.79
Pr  0.0000  0.0000  0.0000  8 B 2.90-3.06, 4 Tc 3.06
Pr  0.5000  0.5000  0.5000  8 B 2.90-3.06, 4 Tc 3.06

No. 4
# TmSnIr

An optimized crystal structure of TmSnIr (PBE, OQMD via LeMat-Bulk).

E_tot   -6.0388 eV per atom
Total moment   0.001 μB per atom
V   183.8 Å³ per cell
Theoretical density   13.0 g/cm³
Crystal system   hexagonal

Cell lengths 8.1869, 8.1869, 3.1661 Å; angles 90.00, 90.00, 120.00 degrees
Last column: nearest neighbours and their distance in Å.
Sites, in units of the cell vectors:
Sn  0.3333  0.6667  0.5000  3 Tm 2.86, 6 Ir 3.07, 2 Sn 3.17
Sn  0.0000  0.0000  0.0000  6 Tm 2.94, 3 Ir 2.94, 2 Sn 3.17
Sn  0.6667  0.3333  0.5000  3 Tm 2.86, 6 Ir 3.07, 2 Sn 3.17
Ir  0.0000  0.6405  0.0000  5 Sn 2.94-3.07, 6 Tm 3.16-3.19, 2 Ir 3.17
Ir  0.6405  0.0000  0.0000  5 Sn 2.94-3.07, 6 Tm 3.16-3.19, 2 Ir 3.17
Ir  0.3595  0.3595  0.0000  5 Sn 2.94-3.07, 6 Tm 3.16-3.19, 2 Ir 3.17
Tm  0.0000  0.3022  0.5000  4 Sn 2.86-2.94, 6 Ir 3.16-3.19, 2 Tm 3.17
Tm  0.6978  0.6978  0.5000  4 Sn 2.86-2.94, 6 Ir 3.16-3.19, 2 Tm 3.17
Tm  0.3022  0.0000  0.5000  4 Sn 2.86-2.94, 6 Ir 3.16-3.19, 2 Tm 3.17

No. 5
# PrYNi8B2

An optimized crystal structure of PrYNi8B2 (PBE, OQMD via LeMat-Bulk).

Total moment   0.000 μB per atom
V   153.5 Å³ per cell
Excess energy over the best structure of this formula in the dataset   0 meV/atom
Theoretical density   7.8 g/cm³
Crystal system   hexagonal

Cell lengths 5.0277, 5.0277, 7.0077 Å; angles 90.00, 90.00, 119.97 degrees
Last column: nearest neighbours and their distance in Å.
Sites, in units of the cell vectors:
Y  0.5000  0.5000  0.5000  12 Ni 2.89, 6 B 2.90
Ni  0.0000  0.0000  0.7041  2 B 2.04
Ni  0.1667  0.8333  0.0000  6 Ni 2.53
Ni  0.5000  0.0000  0.7040  2 B 2.04
Ni  0.0000  0.5000  0.7040  2 B 2.04
Ni  0.5000  0.0000  0.2960  2 B 2.04
Ni  0.0000  0.0000  0.2959  2 B 2.04
Ni  0.0000  0.5000  0.2960  2 B 2.04
Ni  0.8333  0.1667  0.0000  6 Ni 2.53
B  0.8333  0.1667  0.5000  6 Ni 2.04
B  0.1667  0.8333  0.5000  6 Ni 2.04
Pr  0.5000  0.5000  0.0000  6 Ni 2.90

No. 6
# CsLuMo

An optimized crystal structure of CsLuMo (PBE, OQMD via LeMat-Bulk).

Total moment   0.688 μB per atom
V   97.4 Å³ per cell
Excess energy over the best structure of this formula in the dataset   0 meV/atom
Theoretical density   6.9 g/cm³
Crystal system   cubic

Cell lengths 5.1642, 5.1642, 5.1642 Å; angles 60.00, 60.00, 60.00 degrees
Last column: nearest neighbours and their distance in Å.
Sites, in units of the cell vectors:
Cs  0.2500  0.2500  0.2500  4 Mo 3.16
Lu  0.7500  0.7500  0.7500  4 Mo 3.16
Mo  0.0000  0.0000  0.0000  4 Cs 3.16, 4 Lu 3.16

No. 7
# Sm3Mg3Zn2Pt

An optimized crystal structure of Sm3Mg3Zn2Pt (PBE, OQMD via LeMat-Bulk).

E_tot   -3.5045 eV per atom
Total moment   0.083 μB per atom
V   208.7 Å³ per cell
Theoretical density   6.8 g/cm³
Crystal system   hexagonal

Cell lengths 7.5709, 7.5709, 4.2052 Å; angles 90.00, 90.00, 120.00 degrees
Last column: nearest neighbours and their distance in Å.
Sites, in units of the cell vectors:
Sm  0.4061  0.4061  0.0000  1 Pt 3.07, 4 Zn 3.11, 6 Mg 3.40-3.43
Sm  0.5939  0.0000  0.0000  1 Pt 3.07, 4 Zn 3.11, 6 Mg 3.40-3.43
Sm  0.0000  0.5939  0.0000  1 Pt 3.07, 4 Zn 3.11, 6 Mg 3.40-3.43
Pt  0.0000  0.0000  0.0000  6 Mg 2.76, 3 Sm 3.07
Zn  0.6667  0.3333  0.5000  3 Mg 2.96, 6 Sm 3.11
Zn  0.3333  0.6667  0.5000  3 Mg 2.96, 6 Sm 3.11
Mg  0.7637  0.7637  0.5000  2 Pt 2.76, 2 Zn 2.96
Mg  0.0000  0.2363  0.5000  2 Pt 2.76, 2 Zn 2.96
Mg  0.2363  0.0000  0.5000  2 Pt 2.76, 2 Zn 2.96

No. 8
# TbInHgTe3

An optimized crystal structure of TbInHgTe3 (PBE, OQMD via LeMat-Bulk).

Total moment   0.000 μB per atom
V   420.3 Å³ per cell
Excess energy over the best structure of this formula in the dataset   0 meV/atom
Theoretical density   6.8 g/cm³
Crystal system   orthorhombic

Cell lengths 8.3293, 8.3293, 11.8693 Å; angles 90.00, 90.00, 149.31 degrees
Last column: nearest neighbours and their distance in Å.
Sites, in units of the cell vectors:
Tb  0.5000  0.5000  0.5000  6 Te 3.12-3.16
Tb  0.5000  0.5000  0.0000  6 Te 3.12-3.16
Te  0.4318  0.5682  0.2500  2 In 2.93, 2 Tb 3.16
Te  0.8660  0.1340  0.5430  1 In 2.79
Te  0.8660  0.1340  0.9570  1 In 2.79
Te  0.5682  0.4318  0.7500  2 In 2.93, 2 Tb 3.16
Te  0.1340  0.8660  0.4570  1 In 2.79
Te  0.1340  0.8660  0.0430  1 In 2.79
Hg  0.7564  0.2436  0.2500  8 Te 3.58-3.90, 2 In 3.95
Hg  0.2436  0.7564  0.7500  8 Te 3.58-3.90, 2 In 3.95
In  0.9477  0.0523  0.7500  4 Te 2.79-2.93
In  0.0523  0.9477  0.2500  4 Te 2.79-2.93